(1)
## CrCoRe (PBE)

Data for crystalline CrCoRe at its relaxed geometry.

Properties
For the energy relative to the lowest polymorph listed for this composition, the calculation gives 61.7 kJ/mol of atoms.

a b c (Å): 5.5775 5.5775 5.5775
angles (deg): 90.00 90.00 90.00
Space group F-43m (No. 216)
Inequivalent atoms, fractional coordinates:
Cr1 0.0000 0.0000 0.0000 [4 per cell]
Co1 0.2500 0.2500 0.2500 [4 per cell]
Re1 0.2500 0.2500 0.7500 [4 per cell]



(2)
## CrCo2Re2 (PBE)

Data for crystalline CrCo2Re2 at its relaxed geometry.

a b c (Å): 7.0416 7.0416 2.6120
angles (deg): 90.00 90.00 90.00
Space group P4/mbm (No. 127)
Inequivalent atoms, fractional coordinates:
Cr1 0.0000 0.0000 0.0000 [2 per cell]
Co1 0.1190 0.3810 0.0000 [4 per cell]
Re1 0.1775 0.6775 0.5000 [4 per cell]



(3)
## CrCoRe (PBE)

Data for crystalline CrCoRe at its relaxed geometry.

Properties
For the energy relative to the lowest polymorph listed for this composition, the calculation gives 6.9 kJ/mol of atoms.

a b c (Å): 4.1555 4.1555 2.5515
angles (deg): 90.00 90.00 120.00
Space group P3m1 (No. 156)
Inequivalent atoms, fractional coordinates:
Cr1 0.0000 0.0000 0.0000 [1 per cell]
Co1 0.3333 0.6667 0.6845 [1 per cell]
Re1 0.6667 0.3333 0.2857 [1 per cell]



(4)
## CrCo2Re (PBE)

Data for crystalline CrCo2Re at its relaxed geometry.

Properties
For the energy relative to the lowest polymorph listed for this composition, the calculation gives 7.8 kJ/mol of atoms.

a b c (Å): 4.4707 4.1023 10.4238
angles (deg): 90.00 90.00 90.00
Space group Pnma (No. 62)
Inequivalent atoms, fractional coordinates:
Cr1 0.0676 0.2500 0.1811 [4 per cell]
Co1 0.0902 0.2500 0.4408 [4 per cell]
Co2 0.0910 0.2500 0.9465 [4 per cell]
Re1 0.0824 0.2500 0.6815 [4 per cell]



(5)
## CrCo2Re (PBE)

Data for crystalline CrCo2Re at its relaxed geometry.

Properties
For the energy relative to the lowest polymorph listed for this composition, the calculation gives 8.7 kJ/mol of atoms.

a b c (Å): 8.3694 2.5699 4.4921
angles (deg): 90.00 99.41 90.00
Space group Cm (No. 8)
Inequivalent atoms, fractional coordinates:
Cr1 0.0000 0.0000 0.0000 [2 per cell]
Co1 0.2418 0.5000 0.2014 [2 per cell]
Co2 0.4926 0.0000 0.4648 [2 per cell]
Re1 0.2424 0.0000 0.6986 [2 per cell]



(6)
## CrCo2Re (PBE)

Data for crystalline CrCo2Re at its relaxed geometry.

Properties
For the energy relative to the lowest polymorph listed for this composition, the calculation gives 23.0 kJ/mol of atoms.

a b c (Å): 2.5524 2.5619 14.9044
angles (deg): 90.00 90.00 90.00
Space group Amm2 (No. 38)
Inequivalent atoms, fractional coordinates:
Cr1 0.0000 0.0000 0.0000 [2 per cell]
Co1 0.5000 0.0000 0.3908 [2 per cell]
Co2 0.5000 0.0000 0.6185 [2 per cell]
Re1 0.0000 0.0000 0.2434 [2 per cell]



(7)
## Cr2Co2Re (PBE)

Data for crystalline Cr2Co2Re at its relaxed geometry.

a b c (Å): 6.8136 6.8136 2.5529
angles (deg): 90.00 90.00 90.00
Space group P4/mbm (No. 127)
Inequivalent atoms, fractional coordinates:
Cr1 0.1731 0.3269 0.0000 [4 per cell]
Co1 0.1228 0.6228 0.5000 [4 per cell]
Re1 0.0000 0.0000 0.5000 [2 per cell]



(8)
## CrCo2Re (PBE)

Data for crystalline CrCo2Re at its relaxed geometry.

Properties
For the energy relative to the lowest polymorph listed for this composition, the calculation gives 9.4 kJ/mol of atoms.

a b c (Å): 3.6569 3.6569 7.0993
angles (deg): 90.00 90.00 90.00
Space group I-4m2 (No. 119)
Inequivalent atoms, fractional coordinates:
Cr1 0.0000 0.0000 0.0000 [2 per cell]
Co1 0.0000 0.0000 0.5000 [2 per cell]
Co2 0.0000 0.5000 0.7500 [2 per cell]
Re1 0.0000 0.5000 0.2500 [2 per cell]



(9)
## CrCo2Re (PBE)

Data for crystalline CrCo2Re at its relaxed geometry.

Properties
For the energy relative to the lowest polymorph listed for this composition, the calculation gives 3.7 kJ/mol of atoms.

a b c (Å): 3.5828 3.5828 3.6761
angles (deg): 90.00 90.00 90.00
Space group P4/mmm (No. 123)
Inequivalent atoms, fractional coordinates:
Cr1 0.0000 0.0000 0.0000 [1 per cell]
Co1 0.0000 0.5000 0.5000 [2 per cell]
Re1 0.5000 0.5000 0.0000 [1 per cell]



(10)
## Cr4Co2Re3 (PBE)

Data for crystalline Cr4Co2Re3 at its relaxed geometry.

a b c (Å): 8.6719 4.1496 6.7449
angles (deg): 90.00 105.66 90.00
Space group C2/m (No. 12)
Inequivalent atoms, fractional coordinates:
Cr1 0.0854 0.0000 0.1510 [4 per cell]
Cr2 0.1988 0.5000 0.4160 [4 per cell]
Co1 0.2354 0.0000 0.8963 [4 per cell]
Re1 0.0000 0.0000 0.5000 [2 per cell]
Re2 0.0919 0.5000 0.7461 [4 per cell]



(11)
## Cr2Co3Re2 (PBE)

Data for crystalline Cr2Co3Re2 at its relaxed geometry.

a b c (Å): 3.9641 17.4000 2.5332
angles (deg): 90.00 90.00 90.00
Space group Cmmm (No. 65)
Inequivalent atoms, fractional coordinates:
Cr1 0.0000 0.0671 0.0000 [4 per cell]
Co1 0.0000 0.3578 0.5000 [4 per cell]
Co2 0.0000 0.5000 0.5000 [2 per cell]
Re1 0.0000 0.2060 0.0000 [4 per cell]



(12)
## CrCo2Re (PBE)

Data for crystalline CrCo2Re at its relaxed geometry.

Properties
For the energy relative to the lowest polymorph listed for this composition, the calculation gives 3.4 kJ/mol of atoms.

a b c (Å): 3.5827 3.5827 7.3427
angles (deg): 90.00 90.00 90.00
Space group I4/mmm (No. 139)
Inequivalent atoms, fractional coordinates:
Cr1 0.0000 0.0000 0.0000 [2 per cell]
Co1 0.0000 0.5000 0.2500 [4 per cell]
Re1 0.0000 0.0000 0.5000 [2 per cell]



| no. | energy relative to the elements (eV per formula unit) | total magnetic moment (μB/atom) | electronic total energy (eV for the cell shown) |
| --- | --- | --- | --- |
| 1 | 2.11 | 0.365 | -108.28 |
| 2 | 1.19 | 0.000 | -95.08 |
| 3 | 0.40 | 0.600 | -28.77 |
| 4 | 0.25 | 0.265 | -144.14 |
| 5 | 0.29 | 0.000 | -71.99 |
| 6 | 0.88 | 0.000 | -70.81 |
| 7 | 0.61 | 0.000 | -90.58 |
| 8 | 0.31 | 0.099 | -71.94 |
| 9 | 0.08 | 0.135 | -36.21 |
| 10 | 2.28 | 0.000 | -175.55 |
| 11 | 1.90 | 0.000 | -127.13 |
| 12 | 0.06 | 0.090 | -72.44 |